1.
A plane-wave DFT calculation with meta-GGA SCAN was carried out for a PBEsol-optimized structure of SrBeGe2Au.

a = 4.400 Å, b = 5.131 Å, c = 5.131 Å
α = 90.00°, β = 90.00°, γ = 90.00°
Element x y z (fractional)
Sr (0.500, 0.500, 0.500)
Ge (0.000, 0.000, 0.500)
Ge (0.000, 0.500, 0.000)
Au (0.000, 0.000, 0.000)
Be (0.500, 0.000, 0.000)

Symmetry: P4/mmm (123)
Calculated formation energy: 72 meV per atom

---

2.
A plane-wave DFT calculation with meta-GGA SCAN was carried out for a PBEsol-optimized structure of CdNiP2Cl.

a = 4.867 Å, b = 4.867 Å, c = 5.000 Å
α = 90.00°, β = 90.00°, γ = 90.00°
Element x y z (fractional)
Ni (0.500, 0.500, 0.500)
Cl (0.000, 0.000, 0.500)
P (0.000, 0.500, 0.000)
P (0.500, 0.000, 0.000)
Cd (0.000, 0.000, 0.000)

Formation energy without anion corrections: 1.312 eV/atom
Symmetry: P4/mmm (123)

---

3.
A plane-wave DFT calculation with meta-GGA SCAN was carried out for a PBEsol-optimized structure of CuSiPt.

a = 3.941 Å, b = 3.941 Å, c = 3.941 Å
α = 60.00°, β = 60.00°, γ = 60.00°
Element x y z (fractional)
Si (0.250, 0.250, 0.250)
Cu (0.000, 0.000, 0.000)
Pt (0.500, 0.500, 0.500)

Formation energy without anion corrections: -0.487 eV/atom
Symmetry: F-43m (216)

---

4.
A plane-wave DFT calculation with meta-GGA SCAN was carried out for a PBEsol-optimized structure of Mg3Cr2Si4O14.

a = 7.490 Å, b = 9.067 Å, c = 9.384 Å
α = 63.51°, β = 66.48°, γ = 65.61°
Element x y z (fractional)
Mg (0.910, 0.450, 0.905)
Mg (0.265, 0.050, 0.595)
Mg (0.735, 0.950, 0.405)
Mg (0.616, 0.750, 0.250)
Mg (0.090, 0.550, 0.095)
Mg (0.384, 0.250, 0.750)
Cr (0.207, 0.750, 0.250)
Cr (0.793, 0.250, 0.750)
Cr (0.000, 0.000, 0.000)
Cr (0.000, 0.500, 0.500)
Si (0.467, 0.348, 0.296)
Si (0.889, 0.848, 0.796)
Si (0.468, 0.855, 0.901)
Si (0.776, 0.355, 0.401)
Si (0.111, 0.152, 0.204)
Si (0.532, 0.145, 0.099)
Si (0.224, 0.645, 0.599)
Si (0.533, 0.652, 0.704)
O (0.139, 0.475, 0.668)
O (0.037, 0.261, 0.577)
O (0.533, 0.192, 0.912)
O (0.125, 0.761, 0.077)
O (0.750, 0.505, 0.679)
O (0.941, 0.174, 0.376)
O (0.364, 0.692, 0.412)
O (0.934, 0.995, 0.821)
O (0.059, 0.826, 0.624)
O (0.353, 0.574, 0.737)
O (0.963, 0.739, 0.423)
O (0.250, 0.495, 0.321)
O (0.490, 0.326, 0.124)
O (0.717, 0.975, 0.168)
O (0.336, 0.074, 0.237)
O (0.066, 0.005, 0.179)
O (0.095, 0.337, 0.059)
O (0.647, 0.426, 0.263)
O (0.491, 0.163, 0.441)
O (0.664, 0.926, 0.763)
O (0.510, 0.674, 0.876)
O (0.875, 0.239, 0.923)
O (0.509, 0.837, 0.559)
O (0.467, 0.808, 0.088)
O (0.905, 0.663, 0.941)
O (0.636, 0.308, 0.588)
O (0.283, 0.025, 0.832)
O (0.861, 0.525, 0.332)

Formation energy without anion corrections: -2.869 eV/atom
Symmetry: C2/c (15)

---

5.
A plane-wave DFT calculation with meta-GGA SCAN was carried out for a PBEsol-optimized structure of Mg2TeS.

a = 6.060 Å, b = 6.060 Å, c = 7.353 Å
α = 114.33°, β = 114.33°, γ = 90.00°
Element x y z (fractional)
S (0.750, 0.250, 0.500)
S (0.500, 0.500, 0.000)
Te (0.250, 0.750, 0.500)
Te (0.000, 0.000, 0.000)
Mg (0.831, 0.375, 0.250)
Mg (0.419, 0.875, 0.250)
Mg (0.625, 0.581, 0.750)
Mg (0.125, 0.169, 0.750)

Formation energy without anion corrections: -1.291 eV/atom
Symmetry: I-42d (122)

---

6.
A plane-wave DFT calculation with meta-GGA SCAN was carried out for a PBEsol-optimized structure of La2TcGe2.

a = 3.582 Å, b = 3.582 Å, c = 9.375 Å
α = 101.01°, β = 101.01°, γ = 90.00°
Element x y z (fractional)
Ge (0.250, 0.750, 0.500)
Ge (0.750, 0.250, 0.500)
Tc (0.000, 0.000, 0.000)
La (0.406, 0.406, 0.812)
La (0.594, 0.594, 0.188)

Symmetry: I4/mmm (139)
Calculated formation energy: -47 meV per atom